(1)
Here is TaAsIrSe2 after structural relaxation from the Alexandria database. Energies are from PBE.

Cell: 4.8699 4.8699 4.6597 Å, 90.00 90.00 90.00°
With the nearest neighbours (Å) after each atom.
Atoms (fractional coordinates):
Ta: 0.0000 0.0000 0.0000  8 Se 3.37, 4 As 3.44
As: 0.5000 0.5000 0.0000  2 Ir 2.33
Ir: 0.5000 0.5000 0.5000  2 As 2.33, 4 Se 2.43
Se: 0.0000 0.5000 0.5000  2 Ir 2.43
Se: 0.5000 0.0000 0.5000  2 Ir 2.43

Values from the calculation:
SG = P4/mmm, No. 123
E = -27.31 eV per formula unit
Raw formation energy = 1003.8 meV per atom

(2)
Here is Tb6AsIr2Se3 after structural relaxation from the Alexandria database. Energies are from PBE.

Cell: 9.3258 9.3258 8.3982 Å, 105.53 105.53 25.17°
With the nearest neighbours (Å) after each atom.
Atoms (fractional coordinates):
Tb: 0.0107 0.0107 0.2488  1 Ir 2.78, 2 As 2.88, 3 Se 2.97-3.02
Tb: 0.3289 0.3289 0.4232  3 Ir 2.79-2.82, 3 Se 3.00-3.06
Tb: 0.3330 0.3330 0.8877  2 Ir 2.80, 1 As 2.93, 3 Se 3.02-3.04
Tb: 0.6670 0.6670 0.1123  2 Ir 2.80, 1 As 2.93, 3 Se 3.02-3.04
Tb: 0.6711 0.6711 0.5768  3 Ir 2.79-2.82, 3 Se 3.00-3.06
Tb: 0.9893 0.9893 0.7512  1 Ir 2.78, 2 As 2.88, 3 Se 2.97-3.02
As: 0.5000 0.5000 0.0000  6 Tb 2.88-2.93
Ir: 0.1696 0.1696 0.3434  6 Tb 2.78-2.82
Ir: 0.8304 0.8304 0.6566  6 Tb 2.78-2.82
Se: 0.1615 0.1615 0.8428  6 Tb 3.02-3.06
Se: 0.5000 0.5000 0.5000  6 Tb 2.97-3.00
Se: 0.8385 0.8385 0.1572  6 Tb 3.02-3.06

Values from the calculation:
SG = C2/m, No. 12
E = -77.45 eV per formula unit
Raw formation energy = -1403.9 meV per atom

(3)
Here is TcAsIrSe2 after structural relaxation from the Alexandria database. Energies are from PBE.

Cell: 5.1083 5.1083 4.5557 Å, 90.00 90.00 90.00°
With the nearest neighbours (Å) after each atom.
Atoms (fractional coordinates):
Tc: 0.0000 0.0000 0.0000  8 Se 3.42, 4 As 3.61
As: 0.5000 0.5000 0.0000  2 Ir 2.28
Ir: 0.5000 0.5000 0.5000  2 As 2.28
Se: 0.0000 0.5000 0.5000  2 Ir 2.55
Se: 0.5000 0.0000 0.5000  2 Ir 2.55

Values from the calculation:
SG = P4/mmm, No. 123
E = -25.54 eV per formula unit
Raw formation energy = 1061.2 meV per atom

(4)
Here is TcAsIrSe2 after structural relaxation from the Alexandria database. Energies are from PBE.

Cell: 4.7527 4.7527 4.7409 Å, 90.00 90.00 90.00°
With the nearest neighbours (Å) after each atom.
Atoms (fractional coordinates):
Tc: 0.0000 0.0000 0.0000  2 As 2.37, 4 Se 2.38
As: 0.0000 0.0000 0.5000  2 Tc 2.37
Ir: 0.5000 0.5000 0.5000  8 Se 3.36, 4 As 3.36
Se: 0.0000 0.5000 0.0000  2 Tc 2.38
Se: 0.5000 0.0000 0.0000  2 Tc 2.38

Values from the calculation:
SG = P4/mmm, No. 123
E = -25.37 eV per formula unit
Raw formation energy = 1094.2 meV per atom

Copy entry 3 word for word.
Here is TcAsIrSe2 after structural relaxation from the Alexandria database. Energies are from PBE.

Cell: 5.1083 5.1083 4.5557 Å, 90.00 90.00 90.00°
With the nearest neighbours (Å) after each atom.
Atoms (fractional coordinates):
Tc: 0.0000 0.0000 0.0000  8 Se 3.42, 4 As 3.61
As: 0.5000 0.5000 0.0000  2 Ir 2.28
Ir: 0.5000 0.5000 0.5000  2 As 2.28
Se: 0.0000 0.5000 0.5000  2 Ir 2.55
Se: 0.5000 0.0000 0.5000  2 Ir 2.55

Values from the calculation:
SG = P4/mmm, No. 123
E = -25.54 eV per formula unit
Raw formation energy = 1061.2 meV per atom